# HoEr3As4

HoEr3As4 after structural relaxation (GGA-PBE, Alexandria via LeMat-Bulk).

Calculated density in g cm⁻³: 8.330
E in eV per atom: -6.13

abc: 5.776 5.776 5.776
angles: 90.00 90.00 90.00
Positions (direct):
Ho  0.000  0.000  0.000
Er  0.000  0.500  0.500
Er  0.500  0.000  0.500
Er  0.500  0.500  0.000
As  0.000  0.000  0.500
As  0.000  0.500  0.000
As  0.500  0.000  0.000
As  0.500  0.500  0.500